Entry 1:
Below is a relaxed structure of MnNi2Pt, with properties calculated at the PBE level.

## Properties
- N(E_F) (states/eV per cell) = 5.49
- total moment (μB per cell) = 5.0
- calculated formation energy (eV per atom) = -0.08
- E_tot (eV for the cell shown) = -27.11

Cell: 2.710 2.710 7.033 Å, 90.00 90.00 90.00°
Space group P4mm (No. 99)
Inequivalent atoms, fractional coordinates:
Mn 0.000 0.000 0.000 (multiplicity 1)
Ni 0.000 0.000 0.462 (multiplicity 1)
Ni 0.500 0.500 0.237 (multiplicity 1)
Pt 0.500 0.500 0.725 (multiplicity 1)

Entry 2:
Below is a relaxed structure of GaAgSbI2, with properties calculated at the PBE level.

## Properties
- N(E_F) (states/eV per cell) = 3.13
- total moment (μB per cell) = 1.4
- E_form (uncorrected) (eV per atom) = 0.30
- E_tot (eV for the cell shown) = -11.61

Cell: 5.885 5.885 5.369 Å, 90.00 90.00 90.00°
Space group P4/mmm (No. 123)
Inequivalent atoms, fractional coordinates:
Ga 0.000 0.000 0.000 (multiplicity 1)
Ag 0.500 0.500 0.500 (multiplicity 1)
Sb 0.500 0.500 0.000 (multiplicity 1)
I 0.000 0.500 0.500 (multiplicity 2)

Entry 3:
Below is a relaxed structure of Be7Al, with properties calculated at the PBE level.

## Properties
- N(E_F) (states/eV per cell) = 6.92
- total moment (μB per cell) = 0.0
- calculated formation energy (eV per atom) = 0.25
- E_tot (eV for the cell shown) = -111.22

Cell: 6.703 6.703 6.703 Å, 90.00 90.00 90.00°
Space group Fm-3m (No. 225)
Inequivalent atoms, fractional coordinates:
Be 0.000 0.000 0.000 (multiplicity 4)
Be 0.000 0.250 0.250 (multiplicity 24)
Al 0.000 0.000 0.500 (multiplicity 4)

Entry 4:
Below is a relaxed structure of Th8ReOs3Se4, with properties calculated at the PBE level.

## Properties
- N(E_F) (states/eV per cell) = 23.02
- total moment (μB per cell) = 0.0
- E_form (uncorrected) (eV per atom) = -0.92
- E_tot (eV for the cell shown) = -402.51

Cell: 8.2682 8.2682 22.0254 Å, 90.00 90.00 120.00°
Space group R-3m (No. 166, hexagonal axes)
Inequivalent atoms, fractional coordinates:
Th 0.0000 0.0000 0.2371 (multiplicity 6)
Th 0.0012 0.5006 0.2378 (multiplicity 18)
Re 0.0000 0.0000 0.5000 (multiplicity 3)
Os 0.0000 0.5000 0.5000 (multiplicity 9)
Se 0.0000 0.0000 0.0000 (multiplicity 3)
Se 0.0000 0.5000 0.0000 (multiplicity 9)

Entry 5:
Below is a relaxed structure of LaAlPt4, with properties calculated at the PBE level.

## Properties
- N(E_F) (states/eV per cell) = 9.98
- total moment (μB per cell) = 0.0
- calculated formation energy (eV per atom) = -0.95
- E_tot (eV for the cell shown) = -154.08

Cell: 4.031 15.923 6.815 Å, 90.00 90.00 90.00°
Space group Cmcm (No. 63)
Inequivalent atoms, fractional coordinates:
La 0.000 0.102 0.250 (multiplicity 4)
Al 0.000 0.232 0.750 (multiplicity 4)
Pt 0.000 0.079 0.750 (multiplicity 4)
Pt 0.000 0.320 0.047 (multiplicity 8)
Pt 0.000 0.500 0.000 (multiplicity 4)

Entry 6:
Below is a relaxed structure of MgBeTe2, with properties calculated at the PBE level.

## Properties
- N(E_F) (states/eV per cell) = 3.08
- total moment (μB per cell) = 0.0
- E_form (uncorrected) (eV per atom) = -0.28
- E_tot (eV for the cell shown) = -38.22

Cell: 3.9774 3.9774 20.0914 Å, 90.00 90.00 120.00°
Space group R-3m (No. 166, hexagonal axes)
Inequivalent atoms, fractional coordinates:
Mg 0.0000 0.0000 0.0000 (multiplicity 3)
Be 0.0000 0.0000 0.5000 (multiplicity 3)
Te 0.0000 0.0000 0.2399 (multiplicity 6)

Entry 7:
Below is a relaxed structure of CaHgPb, with properties calculated at the PBE level.

## Properties
- N(E_F) (states/eV per cell) = 1.02
- total moment (μB per cell) = 0.0
- calculated formation energy (eV per atom) = -0.38
- E_tot (eV for the cell shown) = -7.14

Cell: 5.0846 5.0846 3.8367 Å, 90.00 90.00 120.00°
Space group P3m1 (No. 156)
Inequivalent atoms, fractional coordinates:
Ca 0.0000 0.0000 0.0000 (multiplicity 1)
Hg 0.6667 0.3333 0.3526 (multiplicity 1)
Pb 0.3333 0.6667 0.5729 (multiplicity 1)

Entry 8:
Below is a relaxed structure of SeBr, with properties calculated at the PBE level.

## Properties
- N(E_F) (states/eV per cell) = 5.37
- total moment (μB per cell) = 0.0
- E_form (uncorrected) (eV per atom) = 0.13
- E_tot (eV for the cell shown) = -19.61

Cell: 3.526 8.052 9.420 Å, 90.00 90.00 90.00°
Space group Imma (No. 74)
Inequivalent atoms, fractional coordinates:
Se 0.000 0.250 0.160 (multiplicity 4)
Br 0.000 0.250 0.576 (multiplicity 4)

Entry 9:
Below is a relaxed structure of TaTePb2, with properties calculated at the PBE level.

## Properties
- N(E_F) (states/eV per cell) = 7.65
- total moment (μB per cell) = 1.5
- E_form (uncorrected) (eV per atom) = 0.61
- E_tot (eV for the cell shown) = -39.93

Cell: 4.489 4.489 10.228 Å, 90.00 90.00 90.00°
Space group I4/mmm (No. 139)
Inequivalent atoms, fractional coordinates:
Ta 0.000 0.000 0.000 (multiplicity 2)
Te 0.000 0.000 0.500 (multiplicity 2)
Pb 0.000 0.500 0.250 (multiplicity 4)

Entry 10:
Below is a relaxed structure of RbMoCl5, with properties calculated at the PBE level.

## Properties
- N(E_F) (states/eV per cell) = 15.05
- total moment (μB per cell) = 8.0
- E_form (uncorrected) (eV per atom) = -1.15
- E_tot (eV for the cell shown) = -116.21

Cell: 14.031 7.529 9.642 Å, 90.00 110.93 90.00°
Space group C2/c (No. 15)
Inequivalent atoms, fractional coordinates:
Rb 0.000 0.013 0.250 (multiplicity 4)
Mo 0.000 0.500 0.000 (multiplicity 4)
Cl 0.000 0.421 0.750 (multiplicity 4)
Cl 0.126 0.278 0.536 (multiplicity 8)
Cl 0.129 0.282 0.097 (multiplicity 8)

Entry 11:
Below is a relaxed structure of PaBiS, with properties calculated at the PBE level.

## Properties
- N(E_F) (states/eV per cell) = 8.65
- total moment (μB per cell) = 0.7
- E_form (uncorrected) (eV per atom) = -0.87
- E_tot (eV for the cell shown) = -80.41

Cell: 11.481 4.190 7.856 Å, 90.00 119.91 90.00°
Space group C2/m (No. 12)
Inequivalent atoms, fractional coordinates:
Pa 0.178 0.000 0.239 (multiplicity 4)
Bi 0.074 0.500 0.862 (multiplicity 4)
S 0.165 0.000 0.573 (multiplicity 4)

Entry 12:
Below is a relaxed structure of HBr, with properties calculated at the PBE level.

## Properties
- N(E_F) (states/eV per cell) = 5.64
- total moment (μB per cell) = 0.0
- E_tot (eV for the cell shown) = -24.24

Cell: 6.152 6.152 6.152 Å, 90.00 90.00 90.00°
Space group Pm-3n (No. 223)
Inequivalent atoms, fractional coordinates:
H 0.000 0.250 0.500 (multiplicity 6)
Br 0.000 0.500 0.250 (multiplicity 6)

Entry 13:
Below is a relaxed structure of BaHgCl2, with properties calculated at the PBE level.

## Properties
- N(E_F) (states/eV per cell) = 0.00
- total moment (μB per cell) = 0.0
- E_form (uncorrected) (eV per atom) = -1.80
- E_tot (eV for the cell shown) = -26.27

Cell: 8.340 4.814 9.496 Å, 90.00 106.73 90.00°
Space group C2/m (No. 12)
Inequivalent atoms, fractional coordinates:
Ba 0.000 0.000 0.000 (multiplicity 2)
Hg 0.000 0.500 0.500 (multiplicity 2)
Cl 0.217 0.500 0.153 (multiplicity 4)

Entry 14:
Below is a relaxed structure of TiRe3Pt, with properties calculated at the PBE level.

## Properties
- N(E_F) (states/eV per cell) = 10.05
- total moment (μB per cell) = 0.5
- calculated formation energy (eV per atom) = 2.20
- E_tot (eV for the cell shown) = -40.28

Cell: 4.718 4.718 4.718 Å, 90.00 90.00 90.00°
Space group Pm-3m (No. 221)
Inequivalent atoms, fractional coordinates:
Ti 0.000 0.000 0.000 (multiplicity 1)
Re 0.000 0.500 0.500 (multiplicity 3)
Pt 0.500 0.500 0.500 (multiplicity 1)

Entry 15:
Below is a relaxed structure of LaHfNbFe2, with properties calculated at the PBE level.

## Properties
- N(E_F) (states/eV per cell) = 8.55
- total moment (μB per cell) = 0.2
- calculated formation energy (eV per atom) = 1.11
- E_tot (eV for the cell shown) = -36.34

Cell: 4.691 4.691 4.961 Å, 90.00 90.00 90.00°
Space group P4/mmm (No. 123)
Inequivalent atoms, fractional coordinates:
La 0.000 0.000 0.000 (multiplicity 1)
Hf 0.500 0.500 0.500 (multiplicity 1)
Nb 0.500 0.500 0.000 (multiplicity 1)
Fe 0.000 0.500 0.500 (multiplicity 2)

Entry 16:
Below is a relaxed structure of SmAlGa2S6, with properties calculated at the PBE level.

## Properties
- N(E_F) (states/eV per cell) = 0.00
- total moment (μB per cell) = 0.0
- E_form (uncorrected) (eV per atom) = -1.03
- E_tot (eV for the cell shown) = -198.47

Cell: 12.954 10.911 7.164 Å, 90.00 114.02 90.00°
Space group C2/c (No. 15)
Inequivalent atoms, fractional coordinates:
Sm 0.000 0.164 0.250 (multiplicity 4)
Al 0.000 0.185 0.750 (multiplicity 4)
Ga 0.188 0.441 0.190 (multiplicity 8)
S 0.112 0.059 0.653 (multiplicity 8)
S 0.130 0.251 0.049 (multiplicity 8)
S 0.140 0.403 0.460 (multiplicity 8)

Entry 17:
Below is a relaxed structure of Mg2CoRh, with properties calculated at the PBE level.

## Properties
- N(E_F) (states/eV per cell) = 13.58
- total moment (μB per cell) = 5.0
- calculated formation energy (eV per atom) = 0.01
- E_tot (eV for the cell shown) = -52.84

Cell: 2.8893 2.8893 25.2571 Å, 90.00 90.00 120.00°
Space group R-3m (No. 166, hexagonal axes)
Inequivalent atoms, fractional coordinates:
Mg 0.0000 0.0000 0.2504 (multiplicity 6)
Co 0.0000 0.0000 0.0000 (multiplicity 3)
Rh 0.0000 0.0000 0.5000 (multiplicity 3)

Entry 18:
Below is a relaxed structure of Er5Rh2Au2, with properties calculated at the PBE level.

## Properties
- N(E_F) (states/eV per cell) = 26.94
- total moment (μB per cell) = 0.0
- calculated formation energy (eV per atom) = -0.84
- E_tot (eV for the cell shown) = -206.41

Cell: 15.168 7.371 7.502 Å, 90.00 90.00 90.00°
Space group Cmce (No. 64)
Inequivalent atoms, fractional coordinates:
Er 0.000 0.000 0.000 (multiplicity 4)
Er 0.130 0.170 0.330 (multiplicity 16)
Rh 0.000 0.133 0.634 (multiplicity 8)
Au 0.207 0.000 0.000 (multiplicity 8)

Entry 19:
Below is a relaxed structure of Na5Mg2Tl4, with properties calculated at the PBE level.

## Properties
- N(E_F) (states/eV per cell) = 9.10
- total moment (μB per cell) = 0.0
- calculated formation energy (eV per atom) = -0.03
- E_tot (eV for the cell shown) = -39.23

Cell: 3.712 8.781 20.855 Å, 90.00 90.00 90.00°
Space group Immm (No. 71)
Inequivalent atoms, fractional coordinates:
Na 0.000 0.000 0.000 (multiplicity 2)
Na 0.000 0.283 0.345 (multiplicity 8)
Mg 0.000 0.500 0.079 (multiplicity 4)
Tl 0.000 0.205 0.500 (multiplicity 4)
Tl 0.000 0.500 0.224 (multiplicity 4)

Entry 20:
Below is a relaxed structure of HgSb3Au, with properties calculated at the PBE level.

## Properties
- N(E_F) (states/eV per cell) = 5.28
- total moment (μB per cell) = 0.0
- E_form (uncorrected) (eV per atom) = 0.58
- E_tot (eV for the cell shown) = -13.04

Cell: 5.451 5.451 5.451 Å, 90.00 90.00 90.00°
Space group Pm-3m (No. 221)
Inequivalent atoms, fractional coordinates:
Hg 0.000 0.000 0.000 (multiplicity 1)
Sb 0.000 0.500 0.500 (multiplicity 3)
Au 0.500 0.500 0.500 (multiplicity 1)

Entry 21:
Below is a relaxed structure of ErAlZnPd, with properties calculated at the PBE level.

## Properties
- N(E_F) (states/eV per cell) = 5.71
- total moment (μB per cell) = 0.0
- calculated formation energy (eV per atom) = -0.63
- E_tot (eV for the cell shown) = -69.20

Cell: 6.591 6.591 6.591 Å, 90.00 90.00 90.00°
Space group F-43m (No. 216)
Inequivalent atoms, fractional coordinates:
Er 0.000 0.000 0.000 (multiplicity 4)
Al 0.000 0.000 0.500 (multiplicity 4)
Zn 0.250 0.250 0.250 (multiplicity 4)
Pd 0.250 0.250 0.750 (multiplicity 4)

Entry 22:
Below is a relaxed structure of Al2Pd13, with properties calculated at the PBE level.

## Properties
- N(E_F) (states/eV per cell) = 19.71
- total moment (μB per cell) = 0.0
- calculated formation energy (eV per atom) = -0.34
- E_tot (eV for the cell shown) = -80.14

Cell: 6.063 6.299 6.825 Å, 67.93 70.17 83.74°
Space group P-1 (No. 2)
Inequivalent atoms, fractional coordinates:
Al 0.145 0.466 0.280 (multiplicity 2)
Pd 0.000 0.000 0.500 (multiplicity 1)
Pd 0.067 0.731 0.901 (multiplicity 2)
Pd 0.186 0.218 0.686 (multiplicity 2)
Pd 0.267 0.936 0.093 (multiplicity 2)
Pd 0.319 0.664 0.496 (multiplicity 2)
Pd 0.405 0.402 0.894 (multiplicity 2)
Pd 0.462 0.136 0.302 (multiplicity 2)

Entry 23:
Below is a relaxed structure of RbBaH2, with properties calculated at the PBE level.

## Properties
- N(E_F) (states/eV per cell) = 3.29
- total moment (μB per cell) = 0.0
- E_tot (eV for the cell shown) = -42.02

Cell: 14.692 4.190 7.756 Å, 90.00 94.60 90.00°
Space group Cm (No. 8)
Inequivalent atoms, fractional coordinates:
Rb 0.000 0.000 0.000 (multiplicity 2)
Rb 0.017 0.500 0.479 (multiplicity 2)
Ba 0.241 0.000 0.754 (multiplicity 2)
Ba 0.250 0.500 0.249 (multiplicity 2)
H 0.138 0.000 0.294 (multiplicity 2)
H 0.159 0.500 0.930 (multiplicity 2)
H 0.206 0.500 0.567 (multiplicity 2)
H 0.341 0.000 0.077 (multiplicity 2)

Entry 24:
Below is a relaxed structure of Sc4SbP, with properties calculated at the PBE level.

## Properties
- N(E_F) (states/eV per cell) = 30.99
- total moment (μB per cell) = 0.0
- E_form (uncorrected) (eV per atom) = 0.03
- E_tot (eV for the cell shown) = -138.75

Cell: 8.051 8.051 8.051 Å, 90.00 90.00 90.00°
Space group F-43m (No. 216)
Inequivalent atoms, fractional coordinates:
Sc 0.125 0.125 0.125 (multiplicity 16)
Sb 0.000 0.000 0.500 (multiplicity 4)
P 0.250 0.250 0.750 (multiplicity 4)